1.
A relaxed SbTeRu2 crystal, computed with GGA-PBEsol.

Properties
* ΔE_f (raw): 24.56 kJ per mole of atoms

Geometry as POSCAR:
```
SbTeRu2
1.0
3.2507 0.0000 0.0000
0.0000 4.5999 0.0000
0.0000 0.0000 4.5999
Sb Ru Te
1 2 1
Direct
0.5000 0.5000 0.5000 Sb
0.0000 0.5000 0.0000 Ru
0.0000 0.0000 0.5000 Ru
0.5000 0.0000 0.0000 Te
```



2.
A relaxed LiCaZr2 crystal, computed with GGA-PBEsol.

Properties
* energy of formation: 507 meV per atom
* E above lowest polymorph: 19.3 kJ/mol of atoms

Geometry as POSCAR:
```
LiCaZr2
1.0
-3.9880 -0.5467 3.1678
0.4014 -3.0063 4.1278
0.1420 2.0796 4.6790
Li Zr Ca
1 2 1
Direct
0.2500 0.2500 0.2500 Li
0.0000 0.0000 0.0000 Zr
0.7500 0.7500 0.7500 Zr
0.5000 0.5000 0.5000 Ca
```



3.
A relaxed CdPbSe2 crystal, computed with GGA-PBEsol.

Properties
* ΔE_f (raw): -43.73 kJ per mole of atoms

Geometry as POSCAR:
```
CdPbSe2
1.0
-3.1967 0.1606 2.6518
2.5244 -1.1092 3.1103
1.1669 5.6421 1.0650
Se Cd Pb
2 1 1
Direct
0.5000 0.5000 0.0000 Se
0.0000 0.0000 0.5000 Se
0.0000 0.0000 0.0000 Cd
0.5000 0.5000 0.5000 Pb
```



4.
A relaxed LiPb2 crystal, computed with GGA-PBEsol.

Properties
* energy of formation: -151 meV per atom
* E above lowest polymorph: 1.3 kJ/mol of atoms

Geometry as POSCAR:
```
LiPb2
1.0
-0.9435 -1.0348 -3.2196
-1.0436 -8.0848 2.9044
-6.6401 5.5471 0.1630
Pb Li
6 3
Direct
0.0000 0.0000 0.2919 Pb
0.5000 0.6302 0.0000 Pb
0.0000 0.7081 0.7081 Pb
0.0000 0.2919 0.0000 Pb
0.5000 0.3698 0.3698 Pb
0.5000 0.0000 0.6302 Pb
0.5000 0.0000 0.0000 Li
0.0000 0.6667 0.3333 Li
0.0000 0.3333 0.6667 Li
```



5.
A relaxed ZrZn5 crystal, computed with GGA-PBEsol.

Properties
* energy of formation: -19 meV per atom

Geometry as POSCAR:
```
ZrZn5
1.0
-1.8215 -1.9351 1.0189
2.1481 0.9250 1.6218
-7.6976 9.7011 4.6629
Zn Zr
5 1
Direct
0.0000 0.0000 0.6849 Zn
0.3333 0.6667 0.8429 Zn
0.3333 0.6667 0.1571 Zn
0.0000 0.0000 0.3151 Zn
0.0000 0.0000 0.0000 Zn
0.3333 0.6667 0.5000 Zr
```



6.
A relaxed Ta2SiTe crystal, computed with GGA-PBEsol.

Properties
* ΔE_f (raw): 25.23 kJ per mole of atoms
* E above lowest polymorph: 32.4 kJ/mol of atoms

Geometry as POSCAR:
```
Ta2SiTe
1.0
-0.1694 1.4534 3.8415
1.3331 -3.6172 1.4273
3.3698 2.4089 -2.9622
Si Te Ta
1 1 2
Direct
0.2500 0.7500 0.5000 Si
0.5000 0.5000 0.0000 Te
0.7500 0.2500 0.5000 Ta
0.0000 0.0000 0.0000 Ta
```



7.
A relaxed CuAsCl2 crystal, computed with GGA-PBEsol.

Properties
* ΔE_f (raw): 11.64 kJ per mole of atoms
* E above lowest polymorph: 12.4 kJ/mol of atoms

Geometry as POSCAR:
```
CuAsCl2
1.0
3.0281 0.0881 0.0943
-0.1528 5.0637 0.1677
-0.1528 -0.1809 5.0632
As Cl Cu
1 2 1
Direct
0.0000 0.0000 0.0000 As
0.0000 0.5000 0.0000 Cl
0.0000 0.0000 0.5000 Cl
0.0000 0.5000 0.5000 Cu
```



8.
A relaxed RbSi2Pd2 crystal, computed with GGA-PBEsol.

Properties
* ΔE_f (raw): -22.33 kJ per mole of atoms

Geometry as POSCAR:
```
RbSi2Pd2
1.0
4.2036 0.0000 0.0000
0.0000 4.2036 0.0000
-2.1018 -2.1018 6.1862
Si Rb Pd
2 1 2
Direct
0.7500 0.2500 0.5000 Si
0.2500 0.7500 0.5000 Si
0.0000 0.0000 0.0000 Rb
0.3429 0.3429 0.6859 Pd
0.6571 0.6571 0.3141 Pd
```



9.
A relaxed LiCa2W crystal, computed with GGA-PBEsol.

Properties
* energy of formation: 662 meV per atom
* E above lowest polymorph: 0.0 kJ/mol of atoms

Geometry as POSCAR:
```
LiCa2W
1.0
2.9770 0.0855 0.0000
-0.0991 2.9766 0.0000
0.0000 0.0000 10.6463
Li W Ca
1 1 2
Direct
0.5000 0.5000 0.5000 Li
0.5000 0.5000 0.0000 W
0.0000 0.0000 0.2214 Ca
0.0000 0.0000 0.7786 Ca
```



10.
A relaxed IrRu3 crystal, computed with GGA-PBEsol.

Properties
* energy of formation: 27 meV per atom

Geometry as POSCAR:
```
IrRu3
1.0
-1.4703 0.7433 3.4024
-2.8105 -2.4343 -0.6827
2.0567 -2.7951 1.4994
Ru Ir
3 1
Direct
0.0000 0.5000 0.5000 Ru
0.5000 0.5000 0.0000 Ru
0.5000 0.0000 0.5000 Ru
0.0000 0.0000 0.0000 Ir
```



11.
A relaxed InSn2Bi crystal, computed with GGA-PBEsol.

Properties
* energy of formation: 124 meV per atom
* E above lowest polymorph: 7.2 kJ/mol of atoms

Geometry as POSCAR:
```
InSn2Bi
1.0
-1.9155 5.3100 3.4919
-3.5657 2.1209 -5.1812
-2.5379 -7.0979 3.0927
In Sn Bi
2 4 2
Direct
0.7500 0.2500 0.5000 In
0.5000 0.5000 0.0000 In
0.1250 0.1425 0.7500 Sn
0.6250 0.6075 0.7500 Sn
0.3925 0.8750 0.2500 Sn
0.8575 0.3750 0.2500 Sn
0.2500 0.7500 0.5000 Bi
0.0000 0.0000 0.0000 Bi
```



12.
A relaxed LaTcOs2 crystal, computed with GGA-PBEsol.

Properties
* energy of formation: 291 meV per atom
* E above lowest polymorph: 0.0 kJ/mol of atoms

Geometry as POSCAR:
```
LaTcOs2
1.0
-0.3813 0.4608 -2.8846
1.7012 -2.3298 -0.5970
-6.3791 -4.6823 0.0952
Os La Tc
2 1 1
Direct
0.0000 0.0000 0.7984 Os
0.0000 0.0000 0.2016 Os
0.5000 0.5000 0.5000 La
0.5000 0.5000 0.0000 Tc
```